Record 1
A plane-wave DFT calculation with PBE-GGA was carried out for a relaxed structure of TaI2Br.

* E above lowest polymorph: 16.6 kJ/mol of atoms
* formation energy without anion corrections: -0.3042 eV/atom
* calculated density: 4.08 Mg/m³
* V: 52.4 A^3/atom
* crystal system: monoclinic
* size of the total moment: 0.7 μB/f.u.
* density of states at the Fermi level: 0.6411 states/eV/atom

abc: 5.153 3.749 12.522
angles: 117.03 78.12 89.99
Fractional coordinates of all 4 atoms:
Ta  0.899  0.683  0.441
I  0.801  0.478  0.636
I  0.997  0.888  0.246
Br  0.399  0.683  0.441

=====

Record 2
A plane-wave DFT calculation with PBE-GGA was carried out for a relaxed structure of Pr6Ho3Sc.

* formation energy: 0.132 eV per atom
* E above lowest polymorph: 0.0 kJ/mol of atoms
* calculated density: 6.85 Mg/m³
* V: 33.6 A^3/atom
* crystal system: orthorhombic
* size of the total moment: 0.0 μB/f.u.
* density of states at the Fermi level: 1.6101 states/eV/atom

abc: 6.430 11.692 11.692
angles: 130.15 90.00 90.00
Fractional coordinates of all 20 atoms:
Pr  0.063  0.744  0.620
Pr  0.563  0.620  0.744
Pr  0.319  0.457  0.895
Pr  0.819  0.895  0.457
Pr  0.326  0.982  0.018
Pr  0.797  0.295  0.705
Pr  0.297  0.705  0.295
Pr  0.826  0.018  0.982
Pr  0.319  0.105  0.543
Pr  0.819  0.543  0.105
Pr  0.063  0.380  0.256
Pr  0.563  0.256  0.380
Ho  0.494  0.960  0.710
Ho  0.994  0.710  0.960
Ho  0.081  0.420  0.580
Ho  0.581  0.580  0.420
Ho  0.994  0.040  0.290
Ho  0.494  0.290  0.040
Sc  0.030  0.156  0.844
Sc  0.530  0.844  0.156

=====

Record 3
A plane-wave DFT calculation with PBE-GGA was carried out for a relaxed structure of TbHo2Be.

* formation energy: 0.686 eV per atom
* E above lowest polymorph: 59.7 kJ/mol of atoms
* calculated density: 7.18 Mg/m³
* V: 28.8 A^3/atom
* crystal system: trigonal
* size of the total moment: 0.0 μB/f.u.
* density of states at the Fermi level: 1.0146 states/eV/atom

abc: 3.420 3.420 11.527
angles: 81.47 81.47 60.00
Fractional coordinates of all 4 atoms:
Be  0.000  0.000  0.000
Tb  0.500  0.500  0.500
Ho  0.084  0.084  0.747
Ho  0.916  0.916  0.253

=====

Record 4
A plane-wave DFT calculation with PBE-GGA was carried out for a relaxed structure of Ga2FeGe4.

* formation energy: 0.243 eV per atom
* calculated density: 5.44 Mg/m³
* V: 21.2 A^3/atom
* crystal system: tetragonal
* size of the total moment: 0.0 μB/f.u.
* density of states at the Fermi level: 0.5958 states/eV/atom

abc: 4.336 4.336 8.462
angles: 75.15 75.15 90.00
Fractional coordinates of all 7 atoms:
Ge  0.152  0.152  0.697
Ge  0.848  0.848  0.303
Ge  0.000  0.500  0.000
Ge  0.500  0.000  0.000
Fe  0.000  0.000  0.000
Ga  0.317  0.317  0.367
Ga  0.683  0.683  0.633

=====

Record 5
A plane-wave DFT calculation with PBE-GGA was carried out for a relaxed structure of TlPd6Pt.

* formation energy: -0.105 eV per atom
* E above lowest polymorph: 0.0 kJ/mol of atoms
* calculated density: 13.33 Mg/m³
* V: 16.2 A^3/atom
* crystal system: monoclinic
* size of the total moment: 0.0 μB/f.u.
* density of states at the Fermi level: 1.5231 states/eV/atom

abc: 4.043 4.879 7.518
angles: 78.43 74.40 65.52
Fractional coordinates of all 8 atoms:
Tl  0.000  0.500  0.500
Pd  0.248  0.873  0.632
Pd  0.501  0.242  0.756
Pd  0.252  0.376  0.120
Pd  0.499  0.758  0.244
Pd  0.752  0.127  0.368
Pd  0.748  0.624  0.880
Pt  0.000  0.000  0.000

=====

Record 6
A plane-wave DFT calculation with PBE-GGA was carried out for a relaxed structure of LaY3Ho6Er2.

* formation energy: 0.025 eV per atom
* calculated density: 7.55 Mg/m³
* V: 31.7 A^3/atom
* crystal system: monoclinic
* size of the total moment: 0.0 μB/f.u.
* density of states at the Fermi level: 1.3911 states/eV/atom

abc: 6.150 6.150 11.785
angles: 94.97 94.97 119.96
Fractional coordinates of all 12 atoms:
La  0.000  0.000  0.000
Y  0.167  0.833  0.500
Y  0.833  0.167  0.500
Y  0.500  0.500  0.500
Ho  0.916  0.581  0.749
Ho  0.749  0.749  0.251
Ho  0.084  0.419  0.251
Ho  0.581  0.916  0.749
Ho  0.251  0.251  0.749
Ho  0.419  0.084  0.251
Er  0.333  0.667  0.000
Er  0.667  0.333  0.000

=====

Record 7
A plane-wave DFT calculation with PBE-GGA was carried out for a relaxed structure of ZrTa2Hg.

* formation energy: 0.283 eV per atom
* calculated density: 13.76 Mg/m³
* V: 19.7 A^3/atom
* crystal system: tetragonal
* size of the total moment: 0.0 μB/f.u.
* density of states at the Fermi level: 1.0820 states/eV/atom

abc: 3.559 3.559 6.231
angles: 90.00 90.00 90.00
Fractional coordinates of all 4 atoms:
Hg  0.500  0.500  0.750
Ta  0.000  0.000  0.005
Ta  0.000  0.000  0.495
Zr  0.500  0.500  0.250

=====

Record 8
A plane-wave DFT calculation with PBE-GGA was carried out for a relaxed structure of CdHPd2.

* E above lowest polymorph: 52.0 kJ/mol of atoms
* calculated density: 9.17 Mg/m³
* V: 14.8 A^3/atom
* crystal system: cubic
* size of the total moment: 0.0 μB/f.u.
* density of states at the Fermi level: 0.2248 states/eV/atom

abc: 4.371 4.371 4.371
angles: 60.00 60.00 60.00
Fractional coordinates of all 4 atoms:
H  0.000  0.000  0.000
Pd  0.250  0.250  0.250
Pd  0.750  0.750  0.750
Cd  0.500  0.500  0.500

=====

Record 9
A plane-wave DFT calculation with PBE-GGA was carried out for a relaxed structure of Ca2FePt2.

* formation energy: -0.506 eV per atom
* calculated density: 8.44 Mg/m³
* V: 20.7 A^3/atom
* crystal system: tetragonal
* size of the total moment: 2.6 μB/f.u.
* density of states at the Fermi level: 1.3074 states/eV/atom

abc: 6.771 6.771 4.517
angles: 90.00 90.00 90.00
Fractional coordinates of all 10 atoms:
Ca  0.173  0.673  0.500
Ca  0.673  0.827  0.500
Ca  0.827  0.327  0.500
Ca  0.327  0.173  0.500
Fe  0.000  0.000  0.000
Fe  0.500  0.500  0.000
Pt  0.359  0.859  0.000
Pt  0.859  0.641  0.000
Pt  0.641  0.141  0.000
Pt  0.141  0.359  0.000

=====

Record 10
A plane-wave DFT calculation with PBE-GGA was carried out for a relaxed structure of Y2ReTeSe.

* E above lowest polymorph: 0.0 kJ/mol of atoms
* formation energy without anion corrections: -0.1597 eV/atom
* calculated density: 6.33 Mg/m³
* V: 29.9 A^3/atom
* crystal system: tetragonal
* size of the total moment: 0.0 μB/f.u.
* density of states at the Fermi level: 0.4117 states/eV/atom

abc: 5.538 4.880 5.538
angles: 90.00 90.00 90.00
Fractional coordinates of all 5 atoms:
Y  0.000  0.000  0.500
Y  0.500  0.000  0.000
Re  0.000  0.000  0.000
Te  0.000  0.500  0.000
Se  0.500  0.500  0.500

=====

Record 11
A plane-wave DFT calculation with PBE-GGA was carried out for a relaxed structure of ZnMo2Os.

* formation energy: 0.269 eV per atom
* calculated density: 12.14 Mg/m³
* V: 15.3 A^3/atom
* crystal system: orthorhombic
* size of the total moment: 0.0 μB/f.u.
* density of states at the Fermi level: 1.0917 states/eV/atom

abc: 2.688 2.688 9.057
angles: 90.00 90.00 110.67
Fractional coordinates of all 4 atoms:
Mo  0.000  0.000  0.003
Mo  0.000  0.000  0.497
Os  0.500  0.500  0.250
Zn  0.500  0.500  0.750

=====

Record 12
A plane-wave DFT calculation with PBE-GGA was carried out for a relaxed structure of YCo2Tc2.

* formation energy: 0.168 eV per atom
* E above lowest polymorph: 14.8 kJ/mol of atoms
* calculated density: 8.91 Mg/m³
* V: 15.0 A^3/atom
* crystal system: tetragonal
* size of the total moment: 0.0 μB/f.u.
* density of states at the Fermi level: 1.0604 states/eV/atom

abc: 7.486 7.486 2.680
angles: 90.00 90.00 90.00
Fractional coordinates of all 10 atoms:
Y  0.000  0.000  0.000
Y  0.500  0.500  0.000
Co  0.171  0.671  0.500
Co  0.671  0.829  0.500
Co  0.829  0.329  0.500
Co  0.329  0.171  0.500
Tc  0.379  0.879  0.000
Tc  0.879  0.621  0.000
Tc  0.621  0.121  0.000
Tc  0.121  0.379  0.000